No. 1
NaPaS3: optimized geometry, GGA-PBE.

Output
E above lowest polymorph   122 meV/atom

Cell lengths 4.006, 7.964, 12.686 Å; angles 90.00, 90.00, 90.00 degrees
Space group Amm2 (No. 38)
Unique sites:
Na1 0.000 0.000 0.000
Pa1 0.500 0.000 0.337
S1 0.000 0.210 0.372
S2 0.500 0.000 0.145


No. 2
Sc6HgRu5: optimized geometry, GGA-PBE.

Output
ΔE_f   -0.56 eV/atom

Cell lengths 4.585, 6.593, 13.682 Å; angles 90.00, 90.00, 90.00 degrees
Space group Immm (No. 71)
Unique sites:
Sc1 0.000 0.230 0.000
Sc2 0.000 0.260 0.327
Hg1 0.000 0.000 0.500
Ru1 0.000 0.000 0.168
Ru2 0.000 0.500 0.164
Ru3 0.000 0.500 0.500


No. 3
NpCoN2: optimized geometry, GGA-PBE.

Cell lengths 3.5463, 3.5463, 16.2501 Å; angles 90.00, 90.00, 120.00 degrees
Space group R-3m (No. 166, hexagonal axes)
Unique sites:
Np1 0.0000 0.0000 0.0000
Co1 0.0000 0.0000 0.5000
N1 0.0000 0.0000 0.3888


No. 4
BaNiTe2: optimized geometry, GGA-PBE.

Cell lengths 3.726, 3.726, 8.908 Å; angles 90.00, 90.00, 90.00 degrees
Space group P4mm (No. 99)
Unique sites:
Ba1 0.000 0.000 0.000
Ni1 0.500 0.500 0.325
Te1 0.000 0.000 0.388
Te2 0.500 0.500 0.760


No. 5
FeReSi3: optimized geometry, GGA-PBE.

Output
E above lowest polymorph   0 meV/atom

Cell lengths 4.673, 4.673, 4.673 Å; angles 90.00, 90.00, 90.00 degrees
Space group Pm-3m (No. 221)
Unique sites:
Fe1 0.000 0.000 0.000
Re1 0.500 0.500 0.500
Si1 0.000 0.500 0.500


No. 6
Pr2SiO: optimized geometry, GGA-PBE.

Output
E above lowest polymorph   0 meV/atom

Cell lengths 5.963, 5.881, 12.327 Å; angles 90.00, 116.19, 90.00 degrees
Space group P2/c (No. 13)
Unique sites:
Pr1 0.099 0.220 0.109
Pr2 0.319 0.237 0.859
Si1 0.388 0.264 0.375
O1 0.055 0.180 0.623


No. 7
CeSmNi2: optimized geometry, GGA-PBE.

Output
ΔE_f   -0.25 eV/atom

Cell lengths 4.863, 4.863, 3.423 Å; angles 90.00, 90.00, 90.00 degrees
Space group P4/mmm (No. 123)
Unique sites:
Ce1 0.000 0.000 0.000
Sm1 0.500 0.500 0.000
Ni1 0.000 0.500 0.500


No. 8
Tm3Co2P3: optimized geometry, GGA-PBE.

Output
ΔE_f   -1.09 eV/atom

Cell lengths 3.929, 10.091, 13.369 Å; angles 90.00, 90.00, 90.00 degrees
Space group Cmcm (No. 63)
Unique sites:
Tm1 0.000 0.078 0.107
Tm2 0.000 0.362 0.250
Co1 0.000 0.219 0.598
P1 0.000 0.340 0.750
P2 0.000 0.363 0.045


No. 9
TbPm3Sm2: optimized geometry, GGA-PBE.

Output
E above lowest polymorph   132 meV/atom
ΔE_f   0.15 eV/atom

Cell lengths 15.266, 9.593, 6.122 Å; angles 90.00, 113.44, 90.00 degrees
Space group C2/c (No. 15)
Unique sites:
Tb1 0.000 0.000 0.000
Pm1 0.000 0.388 0.250
Pm2 0.235 0.081 0.496
Sm1 0.133 0.276 0.879


No. 10
SnS: optimized geometry, GGA-PBE.

Cell lengths 11.416, 11.416, 3.806 Å; angles 90.00, 90.00, 90.00 degrees
Space group I4/m (No. 87)
Unique sites:
Sn1 0.105 0.220 0.000
S1 0.137 0.666 0.000


No. 11
YLuInRh: optimized geometry, GGA-PBE.

Output
ΔE_f   -0.59 eV/atom

Cell lengths 7.141, 7.141, 7.141 Å; angles 90.00, 90.00, 90.00 degrees
Space group F-43m (No. 216)
Unique sites:
Y1 0.000 0.000 0.000
Lu1 0.000 0.000 0.500
In1 0.250 0.250 0.750
Rh1 0.250 0.250 0.250


No. 12
Tb2Pm5Tm2: optimized geometry, GGA-PBE.

Output
E above lowest polymorph   0 meV/atom
ΔE_f   0.02 eV/atom

Cell lengths 15.226, 5.080, 8.049 Å; angles 90.00, 108.45, 90.00 degrees
Space group C2/m (No. 12)
Unique sites:
Tb1 0.167 0.000 0.499
Pm1 0.000 0.500 0.500
Pm2 0.057 0.000 0.832
Pm3 0.113 0.500 0.165
Tm1 0.222 0.500 0.832


Record-wise calculated total energy values, in eV per atom: -5.90 -7.62 -9.69 -3.81 -6.52 -6.55 -5.80 -6.58 -4.57 -4.44 -5.86 -4.64